(1)
CoSnHg2I | PBE-GGA | optimized geometry

Properties
- Raw formation energy: 4.109 eV/f.u.
- Theoretical density: 6.0 Mg/m³
- Total magnetization: 2.80 Bohr magnetons per cell

a = 5.6589 Å, b = 5.6589 Å, c = 6.0810 Å
α = 90.00°, β = 90.00°, γ = 90.00°
Space group P4/mmm (No. 123)
Inequivalent atoms, fractional coordinates:
Co (0.0000, 0.0000, 0.0000)
Sn (0.5000, 0.5000, 0.5000)
Hg (0.0000, 0.5000, 0.5000)
I (0.5000, 0.5000, 0.0000)

=====

(2)
Ac2ZnNiPt6 | PBE-GGA | optimized geometry

Properties
- DFT formation energy: -60 kJ/mol of atoms
- Theoretical density: 13.0 Mg/m³
- Total magnetization: 0.00 Bohr magnetons per cell

a = 5.6943 Å, b = 5.6943 Å, c = 23.9331 Å
α = 90.00°, β = 90.00°, γ = 120.00°
Space group R-3m (No. 166, hexagonal axes)
Inequivalent atoms, fractional coordinates:
Ac (0.0000, 0.0000, 0.2046)
Zn (0.0000, 0.0000, 0.0000)
Ni (0.0000, 0.0000, 0.5000)
Pt (0.0020, 0.5010, 0.2498)

=====

(3)
HfInPd3 | PBE-GGA | optimized geometry

Properties
- DFT formation energy: -57 kJ/mol of atoms
- Theoretical density: 11.6 Mg/m³
- Total magnetization: 0.00 Bohr magnetons per cell
- Offset from the most stable computed form: 0 meV per atom

a = 13.5494 Å, b = 4.8095 Å, c = 5.6487 Å
α = 90.00°, β = 107.28°, γ = 90.00°
Space group C2/m (No. 12)
Inequivalent atoms, fractional coordinates:
Hf (0.1001, 0.0000, 0.4077)
In (0.1870, 0.5000, 0.1326)
Pd (0.0056, 0.5000, 0.2582)
Pd (0.1082, 0.0000, 0.8996)
Pd (0.2003, 0.5000, 0.6486)

=====

(4)
Tb3Mg7Hg2 | PBE-GGA | optimized geometry

Properties
- DFT formation energy: -15 kJ/mol of atoms
- Theoretical density: 5.8 Mg/m³
- Total magnetization: 0.00 Bohr magnetons per cell

a = 6.0155 Å, b = 6.0155 Å, c = 28.5923 Å
α = 90.00°, β = 90.00°, γ = 120.00°
Space group R-3m (No. 166, hexagonal axes)
Inequivalent atoms, fractional coordinates:
Tb (0.0000, 0.0000, 0.0000)
Tb (0.0000, 0.0000, 0.1443)
Mg (0.0000, 0.0000, 0.5000)
Mg (0.0045, 0.5022, 0.9186)
Hg (0.0000, 0.0000, 0.3342)

=====

(5)
ScCd2In | PBE-GGA | optimized geometry

Properties
- DFT formation energy: -15 kJ/mol of atoms
- Theoretical density: 7.1 Mg/m³
- Total magnetization: 0.00 Bohr magnetons per cell

a = 4.5242 Å, b = 4.5242 Å, c = 8.8178 Å
α = 90.00°, β = 90.00°, γ = 90.00°
Space group I-4m2 (No. 119)
Inequivalent atoms, fractional coordinates:
Sc (0.0000, 0.0000, 0.0000)
Cd (0.0000, 0.0000, 0.5000)
Cd (0.0000, 0.5000, 0.2500)
In (0.0000, 0.5000, 0.7500)

=====

(6)
AcPr2SmDy4 | PBE-GGA | optimized geometry

Properties
- DFT formation energy: 40 kJ/mol of atoms
- Theoretical density: 7.7 Mg/m³
- Total magnetization: 1.28 Bohr magnetons per cell

a = 13.9001 Å, b = 13.4991 Å, c = 6.9518 Å
α = 90.00°, β = 120.00°, γ = 90.00°
Space group C2/c (No. 15)
Inequivalent atoms, fractional coordinates:
Ac (0.2500, 0.2500, 0.0000)
Pr (0.0000, 0.0000, 0.0000)
Pr (0.2500, 0.2500, 0.5000)
Sm (0.0000, 0.5000, 0.0000)
Dy (0.0000, 0.2528, 0.0127)
Dy (0.2471, 0.4923, 0.4960)